Crystalline Al at its relaxed geometry, computed with PBEsol.

The crystal system is hexagonal. The excess energy over the best structure of this formula in the dataset comes out at 33 meV/atom.

It has space group P6_3/mmc (No. 194), with a = 2.8214 Å, b = 2.8214 Å, c = 4.7196 Å, α = 90.00°, β = 90.00° and γ = 120.00°. The asymmetric unit holds Al at (0.3333, 0.6667, 0.2500).

---

Crystalline AlAs8 at its relaxed geometry, computed with PBEsol.

The crystal system is tetragonal.

It has space group I4/mmm (No. 139), with a = 9.971 Å, b = 9.971 Å, c = 3.458 Å, α = 90.00°, β = 90.00° and γ = 90.00°. The asymmetric unit holds Al at (0.000, 0.000, 0.000), As at (0.000, 0.347, 0.000) and As at (0.140, 0.140, 0.500).

---

Crystalline Al2As at its relaxed geometry, computed with PBEsol.

The crystal system is trigonal.

It has space group P-3m1 (No. 164), with a = 4.6933 Å, b = 4.6933 Å, c = 2.7476 Å, α = 90.00°, β = 90.00° and γ = 120.00°. The asymmetric unit holds Al at (0.3333, 0.6667, 0.1958) and As at (0.0000, 0.0000, 0.0000).

---

Crystalline Al4As at its relaxed geometry, computed with PBEsol.

The crystal system is tetragonal.

It has space group I4/mmm (No. 139), with a = 3.726 Å, b = 3.726 Å, c = 13.228 Å, α = 90.00°, β = 90.00° and γ = 90.00°. The asymmetric unit holds Al at (0.000, 0.000, 0.097), Al at (0.000, 0.500, 0.250) and As at (0.000, 0.000, 0.500).

---

Crystalline AlAs2 at its relaxed geometry, computed with PBEsol.

The crystal system is tetragonal.

It has space group P4/mmm (No. 123), with a = 4.015 Å, b = 4.015 Å, c = 3.706 Å, α = 90.00°, β = 90.00° and γ = 90.00°. The asymmetric unit holds Al at (0.000, 0.000, 0.000) and As at (0.000, 0.500, 0.500).

---

Crystalline Al2As at its relaxed geometry, computed with PBEsol.

The crystal system is tetragonal.

It has space group I4_1/amd (No. 141, origin choice 2), with a = 3.335 Å, b = 3.335 Å, c = 19.983 Å, α = 90.00°, β = 90.00° and γ = 90.00°. The asymmetric unit holds Al at (0.000, 0.250, 0.305) and As at (0.000, 0.250, 0.875).

---

Crystalline AlAs2 at its relaxed geometry, computed with PBEsol.

The crystal system is orthorhombic.

It has space group Cmcm (No. 63), with a = 3.540 Å, b = 17.959 Å, c = 3.597 Å, α = 90.00°, β = 90.00° and γ = 90.00°. The asymmetric unit holds Al at (0.000, 0.107, 0.250), As at (0.000, 0.281, 0.750) and As at (0.000, 0.437, 0.250).

---

Crystalline AlAs2 at its relaxed geometry, computed with PBEsol.

The crystal system is hexagonal.

It has space group P6_3/mmc (No. 194), with a = 3.7711 Å, b = 3.7711 Å, c = 9.7149 Å, α = 90.00°, β = 90.00° and γ = 120.00°. The asymmetric unit holds Al at (0.0000, 0.0000, 0.2500) and As at (0.3333, 0.6667, 0.1058).

---

Crystalline Al2As at its relaxed geometry, computed with PBEsol.

The crystal system is hexagonal.

It has space group P6_3/mmc (No. 194), with a = 4.6674 Å, b = 4.6674 Å, c = 5.5218 Å, α = 90.00°, β = 90.00° and γ = 120.00°. The asymmetric unit holds Al at (0.0000, 0.0000, 0.0000), Al at (0.3333, 0.6667, 0.2500) and As at (0.3333, 0.6667, 0.7500).

---

Crystalline AlAs2 at its relaxed geometry, computed with PBEsol.

The crystal system is trigonal.

It has space group P-3m1 (No. 164), with a = 3.7130 Å, b = 3.7130 Å, c = 4.7640 Å, α = 90.00°, β = 90.00° and γ = 120.00°. The asymmetric unit holds Al at (0.0000, 0.0000, 0.0000) and As at (0.3333, 0.6667, 0.3180).

---

Crystalline AlAs2 at its relaxed geometry, computed with PBEsol.

The crystal system is trigonal.

It has space group P-3m1 (No. 164), with a = 3.0710 Å, b = 3.0710 Å, c = 7.1575 Å, α = 90.00°, β = 90.00° and γ = 120.00°. The asymmetric unit holds Al at (0.0000, 0.0000, 0.0000) and As at (0.3333, 0.6667, 0.2717).

---

Crystalline AlAs2 at its relaxed geometry, computed with PBEsol.

The crystal system is tetragonal.

It has space group I4_1/amd (No. 141, origin choice 2), with a = 3.410 Å, b = 3.410 Å, c = 21.150 Å, α = 90.00°, β = 90.00° and γ = 90.00°. The asymmetric unit holds Al at (0.000, 0.250, 0.375) and As at (0.000, 0.250, 0.816).

---

Crystalline Al2AsAu at its relaxed geometry, computed with PBEsol.

The crystal system is cubic.

It has space group F-43m (No. 216), with a = 6.571 Å, b = 6.571 Å, c = 6.571 Å, α = 90.00°, β = 90.00° and γ = 90.00°. The asymmetric unit holds Al at (0.000, 0.000, 0.000), Al at (0.250, 0.250, 0.250), As at (0.000, 0.000, 0.500) and Au at (0.250, 0.250, 0.750).

---

Crystalline Al2AsAu2 at its relaxed geometry, computed with PBEsol.

The crystal system is tetragonal.

It has space group I4/mmm (No. 139), with a = 3.929 Å, b = 3.929 Å, c = 11.750 Å, α = 90.00°, β = 90.00° and γ = 90.00°. The asymmetric unit holds Al at (0.000, 0.500, 0.250), As at (0.000, 0.000, 0.000) and Au at (0.000, 0.000, 0.386).

---

Crystalline AlAsAu2 at its relaxed geometry, computed with PBEsol.

The crystal system is monoclinic. The excess energy over the best structure of this formula in the dataset comes out at 0 meV/atom.

It has space group C2/m (No. 12), with a = 8.042 Å, b = 3.201 Å, c = 5.624 Å, α = 90.00°, β = 103.97° and γ = 90.00°. The asymmetric unit holds Al at (0.000, 0.000, 0.000), As at (0.000, 0.500, 0.500) and Au at (0.242, 0.500, 0.227).

---

Crystalline AlAsAu2 at its relaxed geometry, computed with PBEsol.

The crystal system is tetragonal. The excess energy over the best structure of this formula in the dataset comes out at 62 meV/atom.

It has space group P4mm (No. 99), with a = 3.704 Å, b = 3.704 Å, c = 5.314 Å, α = 90.00°, β = 90.00° and γ = 90.00°. The asymmetric unit holds Al at (0.000, 0.000, 0.000), As at (0.500, 0.500, 0.384), Au at (0.000, 0.000, 0.483) and Au at (0.500, 0.500, 0.881).

---

Crystalline Al2AsAu at its relaxed geometry, computed with PBEsol.

The crystal system is orthorhombic.

It has space group Immm (No. 71), with a = 3.791 Å, b = 4.840 Å, c = 7.527 Å, α = 90.00°, β = 90.00° and γ = 90.00°. The asymmetric unit holds Al at (0.000, 0.000, 0.250), As at (0.000, 0.500, 0.000) and Au at (0.000, 0.500, 0.500).

---

Crystalline AlAsAu2 at its relaxed geometry, computed with PBEsol.

The crystal system is orthorhombic. The excess energy over the best structure of this formula in the dataset comes out at 87 meV/atom.

It has space group Immm (No. 71), with a = 2.790 Å, b = 5.347 Å, c = 9.394 Å, α = 90.00°, β = 90.00° and γ = 90.00°. The asymmetric unit holds Al at (0.000, 0.000, 0.000), As at (0.000, 0.000, 0.500) and Au at (0.000, 0.500, 0.267).

---

Crystalline AlBAs2 at its relaxed geometry, computed with PBEsol.

The crystal system is tetragonal.

It has space group I-42d (No. 122), with a = 5.307 Å, b = 5.307 Å, c = 10.131 Å, α = 90.00°, β = 90.00° and γ = 90.00°. The asymmetric unit holds Al at (0.000, 0.000, 0.000), B at (0.000, 0.000, 0.500) and As at (0.195, 0.250, 0.625).

---

Crystalline AlB2As at its relaxed geometry, computed with PBEsol.

The crystal system is tetragonal.

It has space group I-42d (No. 122), with a = 5.041 Å, b = 5.041 Å, c = 9.003 Å, α = 90.00°, β = 90.00° and γ = 90.00°. The asymmetric unit holds Al at (0.000, 0.000, 0.000), B at (0.228, 0.250, 0.625) and As at (0.000, 0.000, 0.500).

---

ΔH_f (0 K) per entry: 0.033; 0.278; 0.090; 0.219; 0.099; 0.076; 0.122; 0.016; 0.038; 0.003; 0.083; 0.068; 0.141; -0.100; -0.108; -0.046; -0.025; -0.022; -0.113; 0.520 eV/atom